--- 1 ---
# CdTeAuN2 GGA-PBE relaxed
# DOS at the Fermi energy: 2.06 states/eV/f.u.
data_CdTeAuN2
_chemical_formula_sum 'Cd1 Te1 Au1 N2'
_cell_length_a 4.220
_cell_length_b 4.220
_cell_length_c 6.492
_cell_angle_alpha 90.00
_cell_angle_beta 90.00
_cell_angle_gamma 90.00
_space_group_name_H-M_alt 'P 4/m m m'
_space_group_IT_number 123
_space_group_name_Hall '-P 4 2'
loop_
_atom_site_label
_atom_site_fract_x
_atom_site_fract_y
_atom_site_fract_z
Cd1 0.000 0.000 0.000
Te1 0.000 0.000 0.500
Au1 0.500 0.500 0.500
N1 0.000 0.500 0.000



--- 2 ---
# CdTeAuN2 GGA-PBE relaxed
# DOS at the Fermi energy: 2.55 states/eV/f.u.
data_CdTeAuN2
_chemical_formula_sum 'Cd1 Te1 Au1 N2'
_cell_length_a 4.176
_cell_length_b 4.176
_cell_length_c 6.182
_cell_angle_alpha 90.00
_cell_angle_beta 90.00
_cell_angle_gamma 90.00
_space_group_name_H-M_alt 'P 4/m m m'
_space_group_IT_number 123
_space_group_name_Hall '-P 4 2'
loop_
_atom_site_label
_atom_site_fract_x
_atom_site_fract_y
_atom_site_fract_z
Cd1 0.000 0.000 0.000
Te1 0.500 0.500 0.000
Au1 0.500 0.500 0.500
N1 0.000 0.500 0.500



Order from most stable to least stable according to the calculation: 2, 1



--- 1 ---
# NaCd8Au2 GGA-PBE relaxed
# DOS at the Fermi energy: 3.73 states/eV/f.u.
data_NaCd8Au2
_chemical_formula_sum 'Na2 Cd16 Au4'
_cell_length_a 8.207
_cell_length_b 12.377
_cell_length_c 5.367
_cell_angle_alpha 90.00
_cell_angle_beta 104.49
_cell_angle_gamma 90.00
_space_group_name_H-M_alt 'C 1 2/m 1'
_space_group_IT_number 12
_space_group_name_Hall '-C 2y'
loop_
_atom_site_label
_atom_site_fract_x
_atom_site_fract_y
_atom_site_fract_z
Na1 0.000 0.000 0.000
Cd1 0.000 0.258 0.000
Cd2 0.111 0.500 0.806
Cd3 0.197 0.118 0.620
Au1 0.000 0.309 0.500



--- 2 ---
# NaCd8Au2 GGA-PBE relaxed
# DOS at the Fermi energy: 4.07 states/eV/f.u.
data_NaCd8Au2
_chemical_formula_sum 'Na1 Cd8 Au2'
_cell_length_a 6.967
_cell_length_b 6.967
_cell_length_c 5.905
_cell_angle_alpha 90.00
_cell_angle_beta 90.00
_cell_angle_gamma 90.00
_space_group_name_H-M_alt 'P 4/m m m'
_space_group_IT_number 123
_space_group_name_Hall '-P 4 2'
loop_
_atom_site_label
_atom_site_fract_x
_atom_site_fract_y
_atom_site_fract_z
Na1 0.000 0.000 0.000
Cd1 0.279 0.279 0.246
Au1 0.000 0.500 0.500



Order from most stable to least stable according to the calculation: 1, 2



--- 1 ---
# Na3Cd4Au2 GGA-PBE relaxed
# DOS at the Fermi energy: 2.84 states/eV/f.u.
data_Na3Cd4Au2
_chemical_formula_sum 'Na6 Cd8 Au4'
_cell_length_a 10.844
_cell_length_b 4.930
_cell_length_c 9.234
_cell_angle_alpha 90.00
_cell_angle_beta 121.50
_cell_angle_gamma 90.00
_space_group_name_H-M_alt 'C 1 2/m 1'
_space_group_IT_number 12
_space_group_name_Hall '-C 2y'
loop_
_atom_site_label
_atom_site_fract_x
_atom_site_fract_y
_atom_site_fract_z
Na1 0.000 0.000 0.000
Na2 0.162 0.500 0.672
Cd1 0.088 0.000 0.417
Cd2 0.192 0.500 0.031
Au1 0.110 0.500 0.276



--- 2 ---
# Na3Cd4Au2 GGA-PBE relaxed
# DOS at the Fermi energy: 3.45 states/eV/f.u.
data_Na3Cd4Au2
_chemical_formula_sum 'Na3 Cd4 Au2'
_cell_length_a 4.926
_cell_length_b 5.940
_cell_length_c 8.259
_cell_angle_alpha 104.90
_cell_angle_beta 90.20
_cell_angle_gamma 113.37
_space_group_name_H-M_alt 'P -1'
_space_group_IT_number 2
_space_group_name_Hall '-P 1'
loop_
_atom_site_label
_atom_site_fract_x
_atom_site_fract_y
_atom_site_fract_z
Na1 0.000 0.000 0.000
Na2 0.466 0.934 0.688
Cd1 0.147 0.296 0.555
Cd2 0.286 0.576 0.929
Au1 0.250 0.494 0.268



Order from most stable to least stable according to the calculation: 2, 1